## w
First-principles (GGA-PBE) data for a relaxed structure of CaSeNF2, as listed in the Alexandria database.

Values from the calculation:
space-group type	No. 123
N(E_F)	0.28	states/eV/atom
spin magnetization	0.0	μB/cell

a = 4.5750 Å, b = 4.5750 Å, c = 3.8247 Å
α = 90.00°, β = 90.00°, γ = 90.00°
Last column: nearest neighbours and their distance in Å.
Positions (direct):
1 Ca 0.5000 0.5000 0.5000  8 F 2.98, 4 N 3.24
2 N 0.0000 0.0000 0.5000  2 Se 1.91
3 Se 0.0000 0.0000 0.0000  2 N 1.91
4 F 0.0000 0.5000 0.0000  2 Se 2.29
5 F 0.5000 0.0000 0.0000  2 Se 2.29

## x
First-principles (GGA-PBE) data for a relaxed structure of CaSeNF2, as listed in the Alexandria database.

Values from the calculation:
space-group type	No. 123
N(E_F)	0.53	states/eV/atom
spin magnetization	1.6	μB/cell

a = 4.1580 Å, b = 4.1580 Å, c = 5.2878 Å
α = 90.00°, β = 90.00°, γ = 90.00°
Last column: nearest neighbours and their distance in Å.
Positions (direct):
1 Ca 0.0000 0.0000 0.0000  4 F 2.08
2 N 0.0000 0.0000 0.5000  2 Ca 2.64, 4 Se 2.94
3 Se 0.5000 0.5000 0.5000  4 N 2.94
4 F 0.0000 0.5000 0.0000  2 Ca 2.08
5 F 0.5000 0.0000 0.0000  2 Ca 2.08

Result of the stability comparison: x is the least stable of them.

## w
First-principles (GGA-PBE) data for a relaxed structure of CaSe2NF, as listed in the Alexandria database.

Values from the calculation:
space-group type	No. 123
N(E_F)	0.45	states/eV/atom
spin magnetization	6.0	μB/cell

a = 5.8202 Å, b = 5.8202 Å, c = 4.6654 Å
α = 90.00°, β = 90.00°, γ = 90.00°
Last column: nearest neighbours and their distance in Å.
Positions (direct):
1 Ca 0.0000 0.0000 0.0000  2 N 2.33
2 N 0.0000 0.0000 0.5000  2 Ca 2.33
3 Se 0.0000 0.5000 0.0000  2 Ca 2.91
4 Se 0.5000 0.0000 0.0000  2 Ca 2.91
5 F 0.5000 0.5000 0.5000  8 Se 3.73, 4 N 4.12

## x
First-principles (GGA-PBE) data for a relaxed structure of CaSe2NF, as listed in the Alexandria database.

Values from the calculation:
space-group type	No. 123
N(E_F)	0.47	states/eV/atom
spin magnetization	2.3	μB/cell

a = 4.4655 Å, b = 4.4655 Å, c = 4.8636 Å
α = 90.00°, β = 90.00°, γ = 90.00°
Last column: nearest neighbours and their distance in Å.
Positions (direct):
1 Ca 0.5000 0.5000 0.5000  4 N 3.16, 8 Se 3.30
2 N 0.0000 0.0000 0.5000  2 F 2.43
3 Se 0.0000 0.5000 0.0000  2 F 2.23
4 Se 0.5000 0.0000 0.0000  2 F 2.23
5 F 0.0000 0.0000 0.0000  4 Se 2.23, 2 N 2.43

Result of the stability comparison: w is the least stable of them.

## w
First-principles (GGA-PBE) data for a relaxed structure of CaTcN2F, as listed in the Alexandria database.

Values from the calculation:
space-group type	No. 123
N(E_F)	0.44	states/eV/atom
spin magnetization	4.0	μB/cell

a = 4.4166 Å, b = 4.4166 Å, c = 4.0800 Å
α = 90.00°, β = 90.00°, γ = 90.00°
Last column: nearest neighbours and their distance in Å.
Positions (direct):
1 Ca 0.0000 0.0000 0.0000  2 F 2.04, 4 N 2.21
2 N 0.0000 0.5000 0.0000  2 Ca 2.21
3 N 0.5000 0.0000 0.0000  2 Ca 2.21
4 Tc 0.5000 0.5000 0.5000  8 N 3.01, 4 F 3.12
5 F 0.0000 0.0000 0.5000  2 Ca 2.04

## x
First-principles (GGA-PBE) data for a relaxed structure of CaTcN2F, as listed in the Alexandria database.

Values from the calculation:
space-group type	No. 123
N(E_F)	0.36	states/eV/atom
spin magnetization	0.0	μB/cell

a = 3.9092 Å, b = 3.9092 Å, c = 4.1781 Å
α = 90.00°, β = 90.00°, γ = 90.00°
Last column: nearest neighbours and their distance in Å.
Positions (direct):
1 Ca 0.5000 0.5000 0.5000  4 F 2.76, 8 N 2.86
2 N 0.0000 0.5000 0.0000  2 Tc 1.95
3 N 0.5000 0.0000 0.0000  2 Tc 1.95
4 Tc 0.0000 0.0000 0.0000  4 N 1.95, 2 F 2.09
5 F 0.0000 0.0000 0.5000  2 Tc 2.09

Result of the stability comparison: w is the least stable of them.

## w
First-principles (GGA-PBE) data for a relaxed structure of CaTe2NF, as listed in the Alexandria database.

Values from the calculation:
space-group type	No. 123
N(E_F)	0.35	states/eV/atom
spin magnetization	2.3	μB/cell

a = 4.7865 Å, b = 4.7865 Å, c = 4.9987 Å
α = 90.00°, β = 90.00°, γ = 90.00°
Last column: nearest neighbours and their distance in Å.
Positions (direct):
1 N 0.0000 0.0000 0.5000  2 F 2.50
2 Ca 0.5000 0.5000 0.5000  4 N 3.38, 8 Te 3.46
3 Te 0.0000 0.5000 0.0000  2 F 2.39
4 Te 0.5000 0.0000 0.0000  2 F 2.39
5 F 0.0000 0.0000 0.0000  4 Te 2.39, 2 N 2.50

## x
First-principles (GGA-PBE) data for a relaxed structure of CaTe2NF, as listed in the Alexandria database.

Values from the calculation:
space-group type	No. 123
N(E_F)	1.31	states/eV/atom
spin magnetization	0.0	μB/cell

a = 5.7834 Å, b = 5.7834 Å, c = 4.3396 Å
α = 90.00°, β = 90.00°, γ = 90.00°
Last column: nearest neighbours and their distance in Å.
Positions (direct):
1 N 0.0000 0.0000 0.5000  2 Ca 2.17
2 Ca 0.0000 0.0000 0.0000  2 N 2.17
3 Te 0.0000 0.5000 0.0000  2 Ca 2.89
4 Te 0.5000 0.0000 0.0000  2 Ca 2.89
5 F 0.5000 0.5000 0.5000  8 Te 3.62

Result of the stability comparison: x is the least stable of them.